AgHgTeI2: optimized geometry, PBE.

It has space group P4/mmm (No. 123), with a = 6.2014 Å, b = 6.2014 Å, c = 5.6977 Å, α = 90.00°, β = 90.00° and γ = 90.00°. Symmetry generates all atoms from Ag at (0.0000, 0.0000, 0.0000), Hg at (0.5000, 0.5000, 0.0000), Te at (0.5000, 0.5000, 0.5000) and I at (0.0000, 0.5000, 0.5000).

The density of states at the Fermi level is 3.183 states/eV per cell. The energy above the most stable polymorph in this dataset is 0.0544 eV per atom. The size of the total moment is 0.0 μB per formula unit.

---

AgHgTeI2: optimized geometry, PBE.

It has space group P4/mmm (No. 123), with a = 5.7638 Å, b = 5.7638 Å, c = 5.5996 Å, α = 90.00°, β = 90.00° and γ = 90.00°. Symmetry generates all atoms from Ag at (0.0000, 0.0000, 0.0000), Hg at (0.5000, 0.5000, 0.5000), Te at (0.0000, 0.0000, 0.5000) and I at (0.0000, 0.5000, 0.0000).

The density of states at the Fermi level is 5.841 states/eV per cell. The energy above the most stable polymorph in this dataset is 0.0000 eV per atom. The size of the total moment is 1.8 μB per formula unit.

---

What did the first record say?
AgHgTeI2: optimized geometry, PBE.

It has space group P4/mmm (No. 123), with a = 6.2014 Å, b = 6.2014 Å, c = 5.6977 Å, α = 90.00°, β = 90.00° and γ = 90.00°. Symmetry generates all atoms from Ag at (0.0000, 0.0000, 0.0000), Hg at (0.5000, 0.5000, 0.0000), Te at (0.5000, 0.5000, 0.5000) and I at (0.0000, 0.5000, 0.5000).

The density of states at the Fermi level is 3.183 states/eV per cell. The energy above the most stable polymorph in this dataset is 0.0544 eV per atom. The size of the total moment is 0.0 μB per formula unit.

---

- Which formula does entry 1 have?
  AgHgTeI2

---

- Which of these has the lowest energy above the most stable polymorph in this dataset?
  number 2